Model a:
## Y4NiTe (PBE)

Data for crystalline Y4NiTe at its relaxed geometry.

Space group: F-43m

a = 6.2221 Å, b = 6.2221 Å, c = 6.2221 Å
α = 60.00°, β = 60.00°, γ = 60.00°
Last column: nearest neighbours and their distance in Å.
Fractional coordinates of all 6 atoms:
Y 0.1246 0.1246 0.1246  6 Y 3.10-3.12
Y 0.1246 0.1246 0.6263  6 Y 3.10-3.12
Y 0.1246 0.6263 0.1246  6 Y 3.10-3.12
Y 0.6263 0.1246 0.1246  6 Y 3.10-3.12
Ni 0.7500 0.7500 0.7500  12 Y 3.65, 4 Te 3.81
Te 0.5000 0.5000 0.5000  12 Y 3.65, 4 Ni 3.81

---

Model b:
## Y4NiTe (PBE)

Data for crystalline Y4NiTe at its relaxed geometry.

Space group: Pnma

a = 8.3124 Å, b = 3.8928 Å, c = 19.5264 Å
α = 90.00°, β = 90.00°, γ = 90.00°
Last column: nearest neighbours and their distance in Å.
Fractional coordinates of all 24 atoms:
Y 0.0195 0.2500 0.0685  2 Ni 2.86
Y 0.0426 0.7500 0.2175  4 Te 3.19-3.22, 4 Y 3.51-3.56
Y 0.1371 0.7500 0.6490  2 Ni 2.84
Y 0.1462 0.7500 0.4510  3 Ni 2.85-3.14
Y 0.3538 0.2500 0.9510  3 Ni 2.85-3.14
Y 0.3629 0.2500 0.1490  2 Ni 2.84
Y 0.4574 0.2500 0.7175  4 Te 3.19-3.22, 4 Y 3.51-3.56
Y 0.4805 0.7500 0.5685  2 Ni 2.86
Y 0.5195 0.2500 0.4315  2 Ni 2.86
Y 0.5426 0.7500 0.2825  4 Te 3.19-3.22, 4 Y 3.51-3.56
Y 0.6371 0.7500 0.8510  2 Ni 2.84
Y 0.6462 0.7500 0.0490  3 Ni 2.85-3.14
Y 0.8538 0.2500 0.5490  3 Ni 2.85-3.14
Y 0.8629 0.2500 0.3510  2 Ni 2.84
Y 0.9574 0.2500 0.7825  4 Te 3.19-3.22, 4 Y 3.51-3.56
Y 0.9805 0.7500 0.9315  2 Ni 2.86
Ni 0.2315 0.2500 0.5513  7 Y 2.84-3.14
Ni 0.2685 0.7500 0.0513  7 Y 2.84-3.14
Ni 0.7315 0.2500 0.9487  7 Y 2.84-3.14
Ni 0.7685 0.7500 0.4487  7 Y 2.84-3.14
Te 0.2435 0.2500 0.3145  9 Y 3.19-3.40
Te 0.2565 0.7500 0.8145  9 Y 3.19-3.40
Te 0.7435 0.2500 0.1855  9 Y 3.19-3.40
Te 0.7565 0.7500 0.6855  9 Y 3.19-3.40

---

Comparing the structures above, model b comes out on top by 101.2 kJ/mol of atoms.